No. 1
{
  "formula": "Ce7Ge2Bi2",
  "functional": "PBE",
  "state": "optimized geometry",
  "total_magnetization_mub_per_cell": 7.6,
  "formation_energy_mev_per_atom": -338.4,
  "space_group": "Cmmm (65)",
  "vol_a3_per_atom": 31.314,
  "lattice_angstrom": [[7.323, -0.001, -0.782], [0.000, 6.600, 0.006], [-1.237, -0.005, 7.260]],
  "species": ["Bi", "Bi", "Ce", "Ce", "Ce", "Ce", "Ce", "Ce", "Ce", "Ge", "Ge"],
  "frac_coords": [[0.807, 0.500, 0.807], [0.193, 0.500, 0.193], [0.500, 0.293, 0.000], [0.000, 0.000, 0.000], [0.500, 0.206, 0.500], [0.500, 0.794, 0.500], [0.500, 0.707, 0.000], [0.000, 0.707, 0.500], [0.000, 0.293, 0.500], [0.738, 0.000, 0.262], [0.262, 0.000, 0.738]]
}

***

No. 2
{
  "formula": "Ce4GeBi2",
  "functional": "PBE",
  "state": "optimized geometry",
  "total_magnetization_mub_per_cell": 5.8,
  "formation_energy_mev_per_atom": -450.9,
  "space_group": "C2/m (12)",
  "vol_a3_per_atom": 34.507,
  "lattice_angstrom": [[4.396, 0.000, 0.000], [0.000, 7.617, -0.107], [-2.198, -3.816, 7.268]],
  "species": ["Ce", "Ce", "Ce", "Ce", "Bi", "Bi", "Ge"],
  "frac_coords": [[0.384, 0.731, 0.768], [0.616, 0.269, 0.232], [0.890, 0.215, 0.780], [0.110, 0.785, 0.220], [0.259, 0.256, 0.519], [0.741, 0.744, 0.481], [0.000, 0.000, 0.000]]
}

***

No. 3
{
  "formula": "Ce6GeBi5",
  "functional": "PBE",
  "state": "optimized geometry",
  "total_magnetization_mub_per_cell": 4.6,
  "formation_energy_mev_per_atom": -764.0,
  "space_group": "C2/m (12)",
  "vol_a3_per_atom": 33.089,
  "lattice_angstrom": [[7.857, 0.216, 0.000], [2.420, 7.488, 0.000], [1.210, 3.744, 6.810]],
  "species": ["Bi", "Bi", "Bi", "Bi", "Bi", "Ce", "Ce", "Ce", "Ce", "Ce", "Ce", "Ge"],
  "frac_coords": [[0.500, 0.826, 0.348], [0.500, 0.174, 0.652], [0.500, 0.500, 0.000], [0.000, 0.335, 0.331], [0.000, 0.665, 0.669], [0.245, 0.236, 0.000], [0.239, 0.921, 0.682], [0.239, 0.603, 0.318], [0.761, 0.397, 0.682], [0.761, 0.079, 0.318], [0.755, 0.764, 0.000], [0.000, 0.000, 0.000]]
}

***

No. 4
{
  "formula": "Ce3GeBi2",
  "functional": "PBE",
  "state": "optimized geometry",
  "total_magnetization_mub_per_cell": 3.8,
  "formation_energy_mev_per_atom": -742.2,
  "space_group": "C2/m (12)",
  "vol_a3_per_atom": 31.683,
  "lattice_angstrom": [[7.626, -0.025, -1.277], [-4.110, 6.424, -1.277], [-0.007, -0.013, 7.782]],
  "species": ["Ge", "Ge", "Bi", "Bi", "Bi", "Bi", "Ce", "Ce", "Ce", "Ce", "Ce", "Ce"],
  "frac_coords": [[0.666, 0.334, 0.000], [0.001, 0.999, 0.000], [0.833, 0.167, 0.500], [0.493, 0.507, 0.500], [0.174, 0.826, 0.500], [0.333, 0.667, 0.000], [0.906, 0.588, 0.765], [0.412, 0.094, 0.235], [0.606, 0.939, 0.771], [0.255, 0.240, 0.765], [0.760, 0.745, 0.235], [0.061, 0.394, 0.229]]
}

***

No. 5
{
  "formula": "Ce8Ge4Bi3",
  "functional": "PBE",
  "state": "optimized geometry",
  "total_magnetization_mub_per_cell": 6.6,
  "formation_energy_mev_per_atom": -568.9,
  "space_group": "C2/m (12)",
  "vol_a3_per_atom": 32.180,
  "lattice_angstrom": [[-6.158, -1.880, 5.904], [1.768, -5.745, -6.424], [8.468, -0.033, 2.384]],
  "species": ["Ge", "Ge", "Ge", "Ge", "Ce", "Ce", "Ce", "Ce", "Ce", "Ce", "Ce", "Ce", "Bi", "Bi", "Bi"],
  "frac_coords": [[0.500, 0.000, 0.000], [0.000, 0.500, 0.000], [0.000, 0.000, 0.000], [0.000, 0.000, 0.500], [0.000, 0.759, 0.241], [0.982, 0.233, 0.233], [0.500, 0.242, 0.758], [0.000, 0.241, 0.759], [0.500, 0.758, 0.242], [0.477, 0.229, 0.229], [0.523, 0.771, 0.771], [0.018, 0.767, 0.767], [0.500, 0.000, 0.500], [0.500, 0.500, 0.000], [0.500, 0.500, 0.500]]
}

***

No. 6
{
  "formula": "Ce5GeBi4",
  "functional": "PBE",
  "state": "optimized geometry",
  "total_magnetization_mub_per_cell": 3.7,
  "formation_energy_mev_per_atom": -752.0,
  "space_group": "I4/m (87)",
  "vol_a3_per_atom": 32.843,
  "lattice_angstrom": [[-6.383, 0.531, -0.313], [-3.867, -6.453, 2.214], [-3.323, 2.658, 6.587]],
  "species": ["Bi", "Bi", "Bi", "Bi", "Ce", "Ce", "Ce", "Ce", "Ce", "Ge"],
  "frac_coords": [[0.805, 0.790, 0.603], [0.197, 0.210, 0.397], [0.408, 0.397, 0.790], [0.594, 0.603, 0.210], [0.717, 0.187, 0.382], [0.285, 0.813, 0.618], [0.501, 0.000, 0.000], [0.904, 0.382, 0.813], [0.098, 0.618, 0.187], [0.001, 0.000, 0.000]]
}

***

No. 7
{
  "formula": "Ce4Ge2Bi",
  "functional": "PBE",
  "state": "optimized geometry",
  "total_magnetization_mub_per_cell": 8.3,
  "formation_energy_mev_per_atom": -677.7,
  "space_group": "I-42d (122)",
  "vol_a3_per_atom": 27.640,
  "lattice_angstrom": [[-2.882, 3.459, 6.554], [-5.410, 0.652, -5.791], [1.528, -7.671, 1.433]],
  "species": ["Ce", "Ce", "Ce", "Ce", "Ce", "Ce", "Ce", "Ce", "Ge", "Ge", "Ge", "Ge", "Bi", "Bi"],
  "frac_coords": [[0.395, 0.482, 0.242], [0.010, 0.268, 0.413], [0.518, 0.760, 0.913], [0.855, 0.596, 0.587], [0.732, 0.145, 0.742], [0.241, 0.154, 0.758], [0.847, 0.605, 0.087], [0.403, 0.990, 0.258], [0.760, 0.875, 0.386], [0.490, 0.375, 0.614], [0.125, 0.511, 0.885], [0.625, 0.240, 0.115], [0.250, 0.750, 0.500], [0.000, 0.000, 0.000]]
}

***

No. 8
{
  "formula": "Ce5GeBi5",
  "functional": "PBE",
  "state": "optimized geometry",
  "total_magnetization_mub_per_cell": 1.8,
  "formation_energy_mev_per_atom": -551.8,
  "space_group": "C2/m (12)",
  "vol_a3_per_atom": 34.801,
  "lattice_angstrom": [[6.337, 0.000, 0.000], [-3.169, 7.141, -0.104], [0.000, -2.794, 8.500]],
  "species": ["Ce", "Ce", "Ce", "Ce", "Ce", "Bi", "Bi", "Bi", "Bi", "Bi", "Ge"],
  "frac_coords": [[0.841, 0.681, 0.159], [0.500, 0.000, 0.000], [0.159, 0.319, 0.841], [0.160, 0.321, 0.322], [0.840, 0.679, 0.678], [0.000, 0.000, 0.500], [0.660, 0.319, 0.819], [0.674, 0.348, 0.336], [0.326, 0.652, 0.664], [0.340, 0.681, 0.181], [0.000, 0.000, 0.000]]
}

***

No. 9
{
  "formula": "Ce5GeBi3",
  "functional": "PBE",
  "state": "optimized geometry",
  "total_magnetization_mub_per_cell": 11.8,
  "formation_energy_mev_per_atom": -759.1,
  "space_group": "P6_3/mcm (193)",
  "vol_a3_per_atom": 29.126,
  "lattice_angstrom": [[6.513, 0.000, 0.000], [0.000, 8.349, -4.820], [0.000, 0.000, 9.641]],
  "species": ["Bi", "Bi", "Bi", "Bi", "Bi", "Bi", "Ce", "Ce", "Ce", "Ce", "Ce", "Ce", "Ce", "Ce", "Ce", "Ce", "Ge", "Ge"],
  "frac_coords": [[0.250, 0.614, 0.000], [0.750, 0.000, 0.386], [0.750, 0.614, 0.614], [0.250, 0.000, 0.614], [0.750, 0.386, 0.000], [0.250, 0.386, 0.386], [0.750, 0.000, 0.743], [0.250, 0.743, 0.743], [0.750, 0.743, 0.000], [0.750, 0.257, 0.257], [0.000, 0.333, 0.667], [0.250, 0.000, 0.257], [0.500, 0.333, 0.667], [0.500, 0.667, 0.333], [0.250, 0.257, 0.000], [0.000, 0.667, 0.333], [0.500, 0.000, 0.000], [0.000, 0.000, 0.000]]
}

***

No. 10
{
  "formula": "Ce5GeBi4",
  "functional": "PBE",
  "state": "optimized geometry",
  "total_magnetization_mub_per_cell": 3.8,
  "formation_energy_mev_per_atom": -738.6,
  "space_group": "I4/mmm (139)",
  "vol_a3_per_atom": 32.953,
  "lattice_angstrom": [[-1.943, -3.734, -1.695], [1.520, -2.398, 3.540], [-13.222, 6.410, 7.110]],
  "species": ["Ce", "Ce", "Ce", "Ce", "Ce", "Bi", "Bi", "Bi", "Bi", "Ge"],
  "frac_coords": [[0.500, 0.500, 0.000], [0.094, 0.094, 0.188], [0.906, 0.906, 0.812], [0.300, 0.300, 0.599], [0.700, 0.700, 0.401], [0.197, 0.197, 0.395], [0.600, 0.600, 0.200], [0.400, 0.400, 0.800], [0.803, 0.803, 0.605], [0.000, 0.000, 0.000]]
}

***

No. 11
{
  "formula": "Ce3GeBi2",
  "functional": "PBE",
  "state": "optimized geometry",
  "total_magnetization_mub_per_cell": 3.8,
  "formation_energy_mev_per_atom": -731.2,
  "space_group": "C2/c (15)",
  "vol_a3_per_atom": 31.709,
  "lattice_angstrom": [[-2.215, 3.428, -6.559], [-5.532, -5.405, 0.570], [-0.104, 6.121, 4.760]],
  "species": ["Ge", "Ge", "Ce", "Ce", "Ce", "Ce", "Ce", "Ce", "Bi", "Bi", "Bi", "Bi"],
  "frac_coords": [[0.750, 0.411, 0.589], [0.250, 0.589, 0.411], [0.995, 0.802, 0.649], [0.505, 0.351, 0.198], [0.005, 0.198, 0.351], [0.495, 0.649, 0.802], [0.000, 0.500, 0.000], [0.500, 0.000, 0.500], [0.750, 0.758, 0.242], [0.250, 0.242, 0.758], [0.750, 0.082, 0.918], [0.250, 0.918, 0.082]]
}

***

No. 12
{
  "formula": "Ce6GeBi2",
  "functional": "PBE",
  "state": "optimized geometry",
  "total_magnetization_mub_per_cell": 7.1,
  "formation_energy_mev_per_atom": -523.6,
  "space_group": "Amm2 (38)",
  "vol_a3_per_atom": 29.493,
  "lattice_angstrom": [[-2.898, -3.008, 0.777], [4.822, -2.970, 6.487], [-5.824, 5.957, 1.340]],
  "species": ["Ce", "Ce", "Ce", "Ce", "Ce", "Ce", "Bi", "Bi", "Ge"],
  "frac_coords": [[0.500, 0.400, 0.390], [0.500, 0.009, 0.610], [0.500, 0.532, 0.000], [0.000, 0.294, 0.000], [0.000, 0.954, 0.190], [0.000, 0.764, 0.810], [0.000, 0.685, 0.373], [0.000, 0.312, 0.627], [0.500, 0.049, 0.000]]
}

***

No. 13
{
  "formula": "Ce5GeBi2N",
  "functional": "PBE",
  "state": "optimized geometry",
  "total_magnetization_mub_per_cell": 3.9,
  "space_group": "P4/mmm (123)",
  "e_form_raw_mev_per_atom": -779,
  "vol_a3_per_atom": 28.191,
  "lattice_angstrom": [[-2.506, 2.191, 3.279], [-3.609, 0.293, -2.953], [-3.954, -10.239, 3.818]],
  "species": ["Ge", "Bi", "Bi", "Ce", "Ce", "Ce", "Ce", "Ce", "N"],
  "frac_coords": [[0.000, 0.000, 0.000], [0.500, 0.500, 0.287], [0.500, 0.500, 0.713], [0.500, 0.000, 0.500], [0.000, 0.500, 0.500], [0.500, 0.500, 0.000], [0.000, 0.000, 0.254], [0.000, 0.000, 0.746], [0.000, 0.000, 0.500]]
}

***

No. 14
{
  "formula": "CeGe2Bi2Pt7",
  "functional": "PBE",
  "state": "optimized geometry",
  "total_magnetization_mub_per_cell": 0.1,
  "formation_energy_mev_per_atom": -560.7,
  "space_group": "I4/mmm (139)",
  "vol_a3_per_atom": 21.143,
  "lattice_angstrom": [[-0.114, 2.815, -2.893], [-0.480, -2.883, -2.787], [-15.739, 0.988, -1.247]],
  "species": ["Ce", "Bi", "Bi", "Pt", "Pt", "Pt", "Pt", "Pt", "Pt", "Pt", "Ge", "Ge"],
  "frac_coords": [[0.000, 0.000, 0.000], [0.211, 0.211, 0.578], [0.789, 0.789, 0.422], [0.500, 0.500, 0.000], [0.571, 0.070, 0.860], [0.697, 0.697, 0.604], [0.930, 0.429, 0.140], [0.070, 0.571, 0.860], [0.429, 0.930, 0.140], [0.303, 0.303, 0.396], [0.620, 0.620, 0.761], [0.380, 0.380, 0.239]]
}

***

No. 15
{
  "formula": "Ce2Ge3BiRh4",
  "functional": "PBE",
  "state": "optimized geometry",
  "total_magnetization_mub_per_cell": 1.3,
  "formation_energy_mev_per_atom": -720.5,
  "space_group": "P-4m2 (115)",
  "vol_a3_per_atom": 19.517,
  "lattice_angstrom": [[4.221, 0.000, 0.000], [0.000, 4.221, 0.000], [0.000, 0.000, 10.954]],
  "species": ["Rh", "Rh", "Rh", "Rh", "Ge", "Ge", "Ge", "Ce", "Ce", "Bi"],
  "frac_coords": [[0.500, 0.000, 0.658], [0.000, 0.500, 0.342], [0.500, 0.500, 0.000], [0.000, 0.000, 0.000], [0.500, 0.000, 0.879], [0.000, 0.500, 0.121], [0.000, 0.000, 0.500], [0.500, 0.000, 0.238], [0.000, 0.500, 0.762], [0.500, 0.500, 0.500]]
}

***

No. 16
{
  "formula": "Ce4GeBiSb2",
  "functional": "PBE",
  "state": "optimized geometry",
  "total_magnetization_mub_per_cell": 2.7,
  "space_group": "P2/m (10)",
  "e_form_raw_mev_per_atom": -869,
  "vol_a3_per_atom": 31.368,
  "lattice_angstrom": [[4.452, 0.000, 0.000], [0.000, 7.714, -0.156], [0.000, 2.715, 7.253]],
  "species": ["Ce", "Ce", "Ce", "Ce", "Sb", "Sb", "Ge", "Bi"],
  "frac_coords": [[0.000, 0.748, 0.739], [0.500, 0.260, 0.736], [0.500, 0.740, 0.264], [0.000, 0.252, 0.261], [0.000, 0.000, 0.000], [0.500, 0.000, 0.500], [0.000, 0.500, 0.500], [0.500, 0.500, 0.000]]
}

***

No. 17
{
  "formula": "Ce4GeBiSe2",
  "functional": "PBE",
  "state": "optimized geometry",
  "total_magnetization_mub_per_cell": 3.6,
  "space_group": "P2/m (10)",
  "e_form_raw_mev_per_atom": -1267,
  "vol_a3_per_atom": 28.538,
  "lattice_angstrom": [[-3.271, -1.354, 2.482], [4.834, -3.155, 4.651], [1.987, 4.973, 5.333]],
  "species": ["Bi", "Se", "Se", "Ce", "Ce", "Ce", "Ce", "Ge"],
  "frac_coords": [[0.500, 0.500, 0.000], [0.000, 0.000, 0.000], [0.500, 0.000, 0.500], [0.000, 0.764, 0.732], [0.500, 0.247, 0.738], [0.500, 0.753, 0.262], [0.000, 0.236, 0.268], [0.000, 0.500, 0.500]]
}

***

No. 18
{
  "formula": "Ce6Ge2BiSe3",
  "functional": "PBE",
  "state": "optimized geometry",
  "total_magnetization_mub_per_cell": 5.0,
  "space_group": "C2/m (12)",
  "e_form_raw_mev_per_atom": -1273,
  "vol_a3_per_atom": 27.948,
  "lattice_angstrom": [[-1.652, 0.252, 3.958], [5.949, -5.495, 2.833], [4.976, 8.128, -0.772]],
  "species": ["Ce", "Ce", "Ce", "Ce", "Ce", "Ce", "Se", "Se", "Se", "Bi", "Ge", "Ge"],
  "frac_coords": [[0.668, 0.580, 0.336], [0.673, 0.092, 0.347], [0.327, 0.908, 0.653], [0.997, 0.732, 0.994], [0.332, 0.420, 0.664], [0.003, 0.268, 0.006], [0.164, 0.832, 0.327], [0.500, 0.500, 0.000], [0.836, 0.168, 0.673], [0.500, 0.000, 0.000], [0.167, 0.333, 0.335], [0.833, 0.667, 0.665]]
}

***

No. 19
{
  "formula": "Ce4GeBi2Te",
  "functional": "PBE",
  "state": "optimized geometry",
  "total_magnetization_mub_per_cell": 3.3,
  "space_group": "P2/m (10)",
  "e_form_raw_mev_per_atom": -916,
  "vol_a3_per_atom": 31.882,
  "lattice_angstrom": [[4.467, 0.000, 0.000], [0.000, 7.800, -0.181], [0.000, 2.720, 7.258]],
  "species": ["Ce", "Ce", "Ce", "Ce", "Ge", "Bi", "Bi", "Te"],
  "frac_coords": [[0.500, 0.268, 0.733], [0.000, 0.739, 0.742], [0.000, 0.261, 0.258], [0.500, 0.732, 0.267], [0.000, 0.500, 0.500], [0.000, 0.000, 0.000], [0.500, 0.000, 0.500], [0.500, 0.500, 0.000]]
}

***

No. 20
{
  "formula": "Ce4Bi3H",
  "functional": "PBE",
  "state": "optimized geometry",
  "total_magnetization_mub_per_cell": 4.4,
  "space_group": "Pmn2_1 (31)",
  "dft_energy_ev_per_cell": -84.031,
  "vol_a3_per_atom": 29.220,
  "lattice_angstrom": [[-5.515, 0.269, 2.940], [-2.179, -4.825, -3.646], [3.818, -7.666, 7.864]],
  "species": ["Ce", "Ce", "Ce", "Ce", "Ce", "Ce", "Ce", "Ce", "Bi", "Bi", "Bi", "Bi", "Bi", "Bi", "H", "H"],
  "frac_coords": [[0.639, 0.020, 0.500], [0.139, 0.980, 0.000], [0.528, 0.215, 0.000], [0.074, 0.231, 0.783], [0.074, 0.231, 0.217], [0.028, 0.785, 0.500], [0.574, 0.769, 0.717], [0.574, 0.769, 0.283], [0.078, 0.726, 0.231], [0.131, 0.268, 0.500], [0.631, 0.732, 0.000], [0.078, 0.726, 0.769], [0.578, 0.274, 0.269], [0.578, 0.274, 0.731], [0.411, 0.747, 0.500], [0.911, 0.253, 0.000]]
}

***

No. 21
{
  "formula": "CeBiH",
  "functional": "PBE",
  "state": "optimized geometry",
  "total_magnetization_mub_per_cell": 1.4,
  "space_group": "I4mm (107)",
  "dft_energy_ev_per_cell": -14.237,
  "vol_a3_per_atom": 22.321,
  "lattice_angstrom": [[-0.938, -0.963, -3.091], [-2.118, -2.252, 1.344], [-2.754, 5.656, 0.911]],
  "species": ["H", "Bi", "Ce"],
  "frac_coords": [[0.272, 0.272, 0.544], [0.007, 0.007, 0.013], [0.721, 0.721, 0.443]]
}